Entry 1:
# Mn2Al8V (PBE, optimized geometry)
data_Mn2Al8V
_chemical_formula_sum 'Mn4 Al16 V2'
_symmetry_space_group_name_H-M 'C 1 2/m 1'
_symmetry_Int_Tables_number 12
_symmetry_space_group_name_Hall '-C 2y'
_cell_length_a 17.165
_cell_length_b 4.239
_cell_length_c 4.981
_cell_angle_alpha 90.00
_cell_angle_beta 102.56
_cell_angle_gamma 90.00
loop_
_atom_site_label
_atom_site_type_symbol
_atom_site_fract_x
_atom_site_fract_y
_atom_site_fract_z
Mn1 Mn 0.200 0.000 0.330
Al1 Al 0.054 0.000 0.327
Al2 Al 0.084 0.500 0.017
Al3 Al 0.153 0.500 0.569
Al4 Al 0.240 0.000 0.847
V1 V 0.000 0.500 0.500
# **E_tot**: -5.221 eV/atom
# **Spin magnetization**: 10.70 μB per cell

***

Entry 2:
# MnAlV (PBE, optimized geometry)
data_MnAlV
_chemical_formula_sum 'Mn2 Al2 V2'
_symmetry_space_group_name_H-M 'I 4 m m'
_symmetry_Int_Tables_number 107
_symmetry_space_group_name_Hall 'I 4 -2'
_cell_length_a 2.973
_cell_length_b 2.973
_cell_length_c 8.731
_cell_angle_alpha 90.00
_cell_angle_beta 90.00
_cell_angle_gamma 90.00
loop_
_atom_site_label
_atom_site_type_symbol
_atom_site_fract_x
_atom_site_fract_y
_atom_site_fract_z
Mn1 Mn 0.000 0.000 0.000
Al1 Al 0.000 0.000 0.324
V1 V 0.000 0.000 0.633
# **E_tot**: -7.632 eV/atom
# **Spin magnetization**: 0.00 μB per cell

***

Entry 3:
# MnAlV3 (PBE, optimized geometry)
data_MnAlV3
_chemical_formula_sum 'Mn4 Al4 V12'
_symmetry_space_group_name_H-M 'I m m a'
_symmetry_Int_Tables_number 74
_symmetry_space_group_name_Hall '-I 2b 2'
_cell_length_a 4.699
_cell_length_b 9.238
_cell_length_c 6.405
_cell_angle_alpha 90.00
_cell_angle_beta 90.00
_cell_angle_gamma 90.00
loop_
_atom_site_label
_atom_site_type_symbol
_atom_site_fract_x
_atom_site_fract_y
_atom_site_fract_z
Mn1 Mn 0.000 0.250 0.113
Al1 Al 0.000 0.000 0.000
V1 V 0.000 0.105 0.392
V2 V 0.250 0.250 0.750
# **E_tot**: -7.995 eV/atom
# **Spin magnetization**: 0.00 μB per cell

***

Entry 4:
# MnAlV3 (PBE, optimized geometry)
data_MnAlV3
_chemical_formula_sum 'Mn8 Al8 V24'
_symmetry_space_group_name_H-M 'C 1 2/c 1'
_symmetry_Int_Tables_number 15
_symmetry_space_group_name_Hall '-C 2yc'
_cell_length_a 9.849
_cell_length_b 8.400
_cell_length_c 7.281
_cell_angle_alpha 90.00
_cell_angle_beta 119.56
_cell_angle_gamma 90.00
loop_
_atom_site_label
_atom_site_type_symbol
_atom_site_fract_x
_atom_site_fract_y
_atom_site_fract_z
Mn1 Mn 0.000 0.115 0.250
Mn2 Mn 0.000 0.359 0.750
Al1 Al 0.096 0.374 0.149
V1 V 0.090 0.128 0.642
V2 V 0.217 0.119 0.055
V3 V 0.222 0.369 0.572
# **E_tot**: -8.250 eV/atom
# **Spin magnetization**: 0.00 μB per cell

***

Entry 5:
# Mn2Al7V2 (PBE, optimized geometry)
data_Mn2Al7V2
_chemical_formula_sum 'Mn4 Al14 V4'
_symmetry_space_group_name_H-M 'C m m m'
_symmetry_Int_Tables_number 65
_symmetry_space_group_name_Hall '-C 2 2'
_cell_length_a 5.201
_cell_length_b 8.757
_cell_length_c 7.763
_cell_angle_alpha 90.00
_cell_angle_beta 90.00
_cell_angle_gamma 90.00
loop_
_atom_site_label
_atom_site_type_symbol
_atom_site_fract_x
_atom_site_fract_y
_atom_site_fract_z
Mn1 Mn 0.189 0.000 0.000
Al1 Al 0.000 0.000 0.500
Al2 Al 0.000 0.500 0.252
Al3 Al 0.250 0.250 0.187
V1 V 0.000 0.306 0.500
# **E_tot**: -5.487 eV/atom
# **Spin magnetization**: 7.23 μB per cell

***

Entry 6:
# MnAl2V2 (PBE, optimized geometry)
data_MnAl2V2
_chemical_formula_sum 'Mn2 Al4 V4'
_symmetry_space_group_name_H-M 'P 4/m b m'
_symmetry_Int_Tables_number 127
_symmetry_space_group_name_Hall '-P 4 2ab'
_cell_length_a 6.575
_cell_length_b 6.575
_cell_length_c 3.377
_cell_angle_alpha 90.00
_cell_angle_beta 90.00
_cell_angle_gamma 90.00
loop_
_atom_site_label
_atom_site_type_symbol
_atom_site_fract_x
_atom_site_fract_y
_atom_site_fract_z
Mn1 Mn 0.000 0.000 0.000
Al1 Al 0.135 0.365 0.000
V1 V 0.167 0.667 0.500
# **E_tot**: -6.971 eV/atom
# **Spin magnetization**: 2.41 μB per cell

***

Entry 7:
# Mn3Al12V5 (PBE, optimized geometry)
data_Mn3Al12V5
_chemical_formula_sum 'Mn24 Al96 V40'
_symmetry_space_group_name_H-M 'I a -3 d'
_symmetry_Int_Tables_number 230
_symmetry_space_group_name_Hall '-I 4bd 2c 3'
_cell_length_a 14.965
_cell_length_b 14.965
_cell_length_c 14.965
_cell_angle_alpha 90.00
_cell_angle_beta 90.00
_cell_angle_gamma 90.00
loop_
_atom_site_label
_atom_site_type_symbol
_atom_site_fract_x
_atom_site_fract_y
_atom_site_fract_z
Mn1 Mn 0.000 0.250 0.125
Al1 Al 0.000 0.076 0.151
V1 V 0.000 0.000 0.000
V2 V 0.000 0.250 0.375
# **E_tot**: -5.121 eV/atom
# **Spin magnetization**: 137.27 μB per cell

***

Entry 8:
# MnAlV (PBE, optimized geometry)
data_MnAlV
_chemical_formula_sum 'Mn6 Al6 V6'
_symmetry_space_group_name_H-M 'R -3 m'
_symmetry_Int_Tables_number 166
_symmetry_space_group_name_Hall '-R 3 2"'
_cell_length_a 4.0348
_cell_length_b 4.0348
_cell_length_c 17.8842
_cell_angle_alpha 90.00
_cell_angle_beta 90.00
_cell_angle_gamma 120.00
loop_
_atom_site_label
_atom_site_type_symbol
_atom_site_fract_x
_atom_site_fract_y
_atom_site_fract_z
Mn1 Mn 0.0000 0.0000 0.0619
Al1 Al 0.0000 0.0000 0.2076
V1 V 0.0000 0.0000 0.3645
# **E_tot**: -7.421 eV/atom
# **Spin magnetization**: 0.00 μB per cell

***

Entry 9:
# MnAlV (PBE, optimized geometry)
data_MnAlV
_chemical_formula_sum 'Mn1 Al1 V1'
_symmetry_space_group_name_H-M 'P 3 m 1'
_symmetry_Int_Tables_number 156
_symmetry_space_group_name_Hall 'P 3 -2"'
_cell_length_a 4.1154
_cell_length_b 4.1154
_cell_length_c 2.6206
_cell_angle_alpha 90.00
_cell_angle_beta 90.00
_cell_angle_gamma 120.00
loop_
_atom_site_label
_atom_site_type_symbol
_atom_site_fract_x
_atom_site_fract_y
_atom_site_fract_z
Mn1 Mn 0.0000 0.0000 0.0000
Al1 Al 0.3333 0.6667 0.3540
V1 V 0.6667 0.3333 0.7672
# **E_tot**: -7.578 eV/atom
# **Spin magnetization**: 0.49 μB per cell

***

Entry 10:
# Mn4AlV (PBE, optimized geometry)
data_Mn4AlV
_chemical_formula_sum 'Mn16 Al4 V4'
_symmetry_space_group_name_H-M 'F -4 3 m'
_symmetry_Int_Tables_number 216
_symmetry_space_group_name_Hall 'F -4 2 3'
_cell_length_a 6.618
_cell_length_b 6.618
_cell_length_c 6.618
_cell_angle_alpha 90.00
_cell_angle_beta 90.00
_cell_angle_gamma 90.00
loop_
_atom_site_label
_atom_site_type_symbol
_atom_site_fract_x
_atom_site_fract_y
_atom_site_fract_z
Mn1 Mn 0.125 0.125 0.125
Al1 Al 0.250 0.250 0.750
V1 V 0.000 0.000 0.500
# **E_tot**: -8.386 eV/atom
# **Spin magnetization**: 11.38 μB per cell

***

Entry 11:
# Mn2AlV8 (PBE, optimized geometry)
data_Mn2AlV8
_chemical_formula_sum 'Mn4 Al2 V16'
_symmetry_space_group_name_H-M 'C 1 2/m 1'
_symmetry_Int_Tables_number 12
_symmetry_space_group_name_Hall '-C 2y'
_cell_length_a 8.408
_cell_length_b 8.377
_cell_length_c 4.640
_cell_angle_alpha 90.00
_cell_angle_beta 97.37
_cell_angle_gamma 90.00
loop_
_atom_site_label
_atom_site_type_symbol
_atom_site_fract_x
_atom_site_fract_y
_atom_site_fract_z
Mn1 Mn 0.141 0.000 0.492
Al1 Al 0.000 0.000 0.000
V1 V 0.079 0.500 0.333
V2 V 0.164 0.242 0.712
V3 V 0.206 0.500 0.923
# **E_tot**: -8.203 eV/atom
# **Spin magnetization**: 0.00 μB per cell

***

Entry 12:
# Mn3Al3V2 (PBE, optimized geometry)
data_Mn3Al3V2
_chemical_formula_sum 'Mn6 Al6 V4'
_symmetry_space_group_name_H-M 'I m m m'
_symmetry_Int_Tables_number 71
_symmetry_space_group_name_Hall '-I 2 2'
_cell_length_a 2.974
_cell_length_b 4.206
_cell_length_c 16.504
_cell_angle_alpha 90.00
_cell_angle_beta 90.00
_cell_angle_gamma 90.00
loop_
_atom_site_label
_atom_site_type_symbol
_atom_site_fract_x
_atom_site_fract_y
_atom_site_fract_z
Mn1 Mn 0.000 0.000 0.000
Mn2 Mn 0.000 0.500 0.126
Al1 Al 0.000 0.000 0.500
Al2 Al 0.000 0.500 0.373
V1 V 0.000 0.000 0.262
# **E_tot**: -7.368 eV/atom
# **Spin magnetization**: 7.82 μB per cell

***

Entry 13:
# MnAlV3 (PBE, optimized geometry)
data_MnAlV3
_chemical_formula_sum 'Mn1 Al1 V3'
_symmetry_space_group_name_H-M 'P m -3 m'
_symmetry_Int_Tables_number 221
_symmetry_space_group_name_Hall '-P 4 2 3'
_cell_length_a 4.301
_cell_length_b 4.301
_cell_length_c 4.301
_cell_angle_alpha 90.00
_cell_angle_beta 90.00
_cell_angle_gamma 90.00
loop_
_atom_site_label
_atom_site_type_symbol
_atom_site_fract_x
_atom_site_fract_y
_atom_site_fract_z
Mn1 Mn 0.000 0.000 0.000
Al1 Al 0.500 0.500 0.500
V1 V 0.000 0.000 0.500
# **E_tot**: -7.456 eV/atom
# **Spin magnetization**: 0.00 μB per cell

***

Entry 14:
# MnAlVW (PBE, optimized geometry)
data_MnAlVW
_chemical_formula_sum 'Mn4 Al4 V4 W4'
_symmetry_space_group_name_H-M 'F -4 3 m'
_symmetry_Int_Tables_number 216
_symmetry_space_group_name_Hall 'F -4 2 3'
_cell_length_a 6.057
_cell_length_b 6.057
_cell_length_c 6.057
_cell_angle_alpha 90.00
_cell_angle_beta 90.00
_cell_angle_gamma 90.00
loop_
_atom_site_label
_atom_site_type_symbol
_atom_site_fract_x
_atom_site_fract_y
_atom_site_fract_z
Mn1 Mn 0.000 0.000 0.000
Al1 Al 0.250 0.250 0.250
V1 V 0.000 0.000 0.500
W1 W 0.250 0.250 0.750
# **E_tot**: -8.865 eV/atom
# **Spin magnetization**: 11.55 μB per cell

***

Entry 15:
# MnAl3W (PBE, optimized geometry)
data_MnAl3W
_chemical_formula_sum 'Mn1 Al3 W1'
_symmetry_space_group_name_H-M 'P m -3 m'
_symmetry_Int_Tables_number 221
_symmetry_space_group_name_Hall '-P 4 2 3'
_cell_length_a 4.383
_cell_length_b 4.383
_cell_length_c 4.383
_cell_angle_alpha 90.00
_cell_angle_beta 90.00
_cell_angle_gamma 90.00
loop_
_atom_site_label
_atom_site_type_symbol
_atom_site_fract_x
_atom_site_fract_y
_atom_site_fract_z
Mn1 Mn 0.000 0.000 0.000
Al1 Al 0.000 0.000 0.500
W1 W 0.500 0.500 0.500
# **E_tot**: -5.756 eV/atom
# **Spin magnetization**: 2.04 μB per cell

***

Entry 16:
# Mn12Al5W3 (PBE, optimized geometry)
data_Mn12Al5W3
_chemical_formula_sum 'Mn96 Al40 W24'
_symmetry_space_group_name_H-M 'I a -3 d'
_symmetry_Int_Tables_number 230
_symmetry_space_group_name_Hall '-I 4bd 2c 3'
_cell_length_a 14.162
_cell_length_b 14.162
_cell_length_c 14.162
_cell_angle_alpha 90.00
_cell_angle_beta 90.00
_cell_angle_gamma 90.00
loop_
_atom_site_label
_atom_site_type_symbol
_atom_site_fract_x
_atom_site_fract_y
_atom_site_fract_z
Mn1 Mn 0.006 0.080 0.157
Al1 Al 0.000 0.000 0.000
Al2 Al 0.000 0.250 0.375
W1 W 0.000 0.250 0.125
# **E_tot**: -7.340 eV/atom
# **Spin magnetization**: 0.00 μB per cell

***

Entry 17:
# MnAlW2 (PBE, optimized geometry)
data_MnAlW2
_chemical_formula_sum 'Mn1 Al1 W2'
_symmetry_space_group_name_H-M 'P 1 2/m 1'
_symmetry_Int_Tables_number 10
_symmetry_space_group_name_Hall '-P 2y'
_cell_length_a 2.698
_cell_length_b 4.225
_cell_length_c 5.314
_cell_angle_alpha 90.00
_cell_angle_beta 104.47
_cell_angle_gamma 90.00
loop_
_atom_site_label
_atom_site_type_symbol
_atom_site_fract_x
_atom_site_fract_y
_atom_site_fract_z
Mn1 Mn 0.000 0.000 0.000
Al1 Al 0.500 0.000 0.500
W1 W 0.227 0.500 0.753
# **E_tot**: -9.680 eV/atom
# **Spin magnetization**: 1.49 μB per cell